# NpMnFeGe2, relaxed, DFT PBE-GGA
# Energy of formation from the pure elements ... -0.147 eV per atom
# Electronic total energy ... -40.54 eV per formula unit
# Mass density ... 9.91 Mg/m³
data_NpMnFeGe2
_symmetry_space_group_name_H-M 'I -4 m 2'
_symmetry_Int_Tables_number 119
_symmetry_space_group_name_Hall 'I -4 -2'
_cell_length_a 3.891
_cell_length_b 3.891
_cell_length_c 10.913
_cell_angle_alpha 90.00
_cell_angle_beta 90.00
_cell_angle_gamma 90.00
loop_
_atom_site_label
_atom_site_type_symbol
_atom_site_fract_x
_atom_site_fract_y
_atom_site_fract_z
_atom_site_occupancy
Np1 Np 0.000 0.000 0.000 1
Mn1 Mn 0.000 0.500 0.750 1
Fe1 Fe 0.000 0.500 0.250 1
Ge1 Ge 0.000 0.000 0.382 1



# La4TcPt, relaxed, DFT PBE-GGA
# Energy of formation from the pure elements ... -0.440 eV per atom
# Electronic total energy ... -38.76 eV per formula unit
# Mass density ... 8.07 Mg/m³
data_La4TcPt
_symmetry_space_group_name_H-M 'P -1'
_symmetry_Int_Tables_number 2
_symmetry_space_group_name_Hall '-P 1'
_cell_length_a 6.585
_cell_length_b 7.896
_cell_length_c 8.259
_cell_angle_alpha 114.34
_cell_angle_beta 108.64
_cell_angle_gamma 99.12
loop_
_atom_site_label
_atom_site_type_symbol
_atom_site_fract_x
_atom_site_fract_y
_atom_site_fract_z
_atom_site_occupancy
La1 La 0.012 0.231 0.364 1
La2 La 0.206 0.299 0.846 1
La3 La 0.354 0.634 0.366 1
La4 La 0.360 0.952 0.154 1
Tc1 Tc 0.253 0.003 0.506 1
Pt1 Pt 0.386 0.636 0.771 1